Run i
! PBE-GGA MoIr3I, relaxed; values from VASP
&SYSTEM
  ibrav = 0, nat = 5, ntyp = 3
/
ATOMIC_SPECIES
Mo 95.94 Mo.upf
Ir 192.22 Ir.upf
I 126.90 I.upf
CELL_PARAMETERS angstrom
4.821 0.000 0.000
0.000 4.821 0.000
0.000 0.000 4.821
ATOMIC_POSITIONS crystal
Mo 0.000 0.000 0.000
Ir 0.000 0.500 0.500
Ir 0.500 0.000 0.500
Ir 0.500 0.500 0.000
I 0.500 0.500 0.500
! V ... 112.0 Å³/cell
! DOS(E_F) ... 9.45 states/eV per cell
! Symmetry ... Pm-3m, No. 221

Run ii
! PBE-GGA MoIr3I, relaxed; values from VASP
&SYSTEM
  ibrav = 0, nat = 5, ntyp = 3
/
ATOMIC_SPECIES
Mo 95.94 Mo.upf
Ir 192.22 Ir.upf
I 126.90 I.upf
CELL_PARAMETERS angstrom
4.794 0.000 0.000
0.000 4.794 0.000
0.000 0.000 4.794
ATOMIC_POSITIONS crystal
Mo 0.000 0.000 0.000
Ir 0.000 0.000 0.500
Ir 0.000 0.500 0.000
Ir 0.500 0.000 0.000
I 0.500 0.500 0.500
! V ... 110.2 Å³/cell
! DOS(E_F) ... 7.03 states/eV per cell
! Symmetry ... Pm-3m, No. 221

run ii comes first in stability; the runner-up is 603 meV/atom higher.

Run i
! PBE-GGA MoIrI2N, relaxed; values from VASP
&SYSTEM
  ibrav = 0, nat = 5, ntyp = 4
/
ATOMIC_SPECIES
Mo 95.94 Mo.upf
Ir 192.22 Ir.upf
I 126.90 I.upf
N 14.01 N.upf
CELL_PARAMETERS angstrom
5.420 0.000 0.000
0.000 5.420 0.000
0.000 0.000 3.743
ATOMIC_POSITIONS crystal
Mo 0.000 0.000 0.000
Ir 0.500 0.500 0.500
I 0.000 0.500 0.000
I 0.500 0.000 0.000
N 0.000 0.000 0.500
! V ... 110.0 Å³/cell
! DOS(E_F) ... 4.76 states/eV per cell
! Symmetry ... P4/mmm, No. 123

Run ii
! PBE-GGA MoIrI2N, relaxed; values from VASP
&SYSTEM
  ibrav = 0, nat = 5, ntyp = 4
/
ATOMIC_SPECIES
Mo 95.94 Mo.upf
Ir 192.22 Ir.upf
I 126.90 I.upf
N 14.01 N.upf
CELL_PARAMETERS angstrom
5.477 0.000 0.000
0.000 5.477 0.000
0.000 0.000 4.960
ATOMIC_POSITIONS crystal
Mo 0.000 0.000 0.000
Ir 0.000 0.000 0.500
I 0.000 0.500 0.500
I 0.500 0.000 0.500
N 0.500 0.500 0.000
! V ... 148.8 Å³/cell
! DOS(E_F) ... 2.27 states/eV per cell
! Symmetry ... P4/mmm, No. 123

Run iii
! PBE-GGA MoIrI2N, relaxed; values from VASP
&SYSTEM
  ibrav = 0, nat = 5, ntyp = 4
/
ATOMIC_SPECIES
Mo 95.94 Mo.upf
Ir 192.22 Ir.upf
I 126.90 I.upf
N 14.01 N.upf
CELL_PARAMETERS angstrom
5.688 0.000 0.000
0.000 5.688 0.000
0.000 0.000 3.708
ATOMIC_POSITIONS crystal
Mo 0.000 0.000 0.000
Ir 0.500 0.500 0.500
I 0.000 0.500 0.500
I 0.500 0.000 0.500
N 0.500 0.500 0.000
! V ... 120.0 Å³/cell
! DOS(E_F) ... 3.40 states/eV per cell
! Symmetry ... P4/mmm, No. 123

run iii comes first in stability; the runner-up is 110 meV/atom higher.

Run i
! PBE-GGA IrI2N, relaxed; values from VASP
&SYSTEM
  ibrav = 0, nat = 4, ntyp = 3
/
ATOMIC_SPECIES
Ir 192.22 Ir.upf
I 126.90 I.upf
N 14.01 N.upf
CELL_PARAMETERS angstrom
0.000 3.322 3.322
3.322 0.000 3.322
3.322 3.322 0.000
ATOMIC_POSITIONS crystal
Ir 0.000 0.000 0.000
I 0.250 0.250 0.250
I 0.750 0.750 0.750
N 0.500 0.500 0.500
! V ... 73.3 Å³/cell
! DOS(E_F) ... 3.50 states/eV per cell
! Symmetry ... Fm-3m, No. 225

Run ii
! PBE-GGA IrI2N, relaxed; values from VASP
&SYSTEM
  ibrav = 0, nat = 8, ntyp = 3
/
ATOMIC_SPECIES
Ir 192.22 Ir.upf
I 126.90 I.upf
N 14.01 N.upf
CELL_PARAMETERS angstrom
-2.786 2.786 6.203
2.786 -2.786 6.203
2.786 2.786 -6.203
ATOMIC_POSITIONS crystal
Ir 0.000 0.000 0.000
Ir 0.750 0.250 0.500
I 0.145 0.625 0.020
I 0.375 0.395 0.520
I 0.605 0.125 0.980
I 0.875 0.855 0.480
N 0.250 0.750 0.500
N 0.500 0.500 0.000
! V ... 192.6 Å³/cell
! DOS(E_F) ... 1.87 states/eV per cell
! Symmetry ... I-42d, No. 122

run ii comes first in stability; the runner-up is 425 meV/atom higher.

Run i
! PBE-GGA IrI3N, relaxed; values from VASP
&SYSTEM
  ibrav = 0, nat = 5, ntyp = 3
/
ATOMIC_SPECIES
Ir 192.22 Ir.upf
I 126.90 I.upf
N 14.01 N.upf
CELL_PARAMETERS angstrom
4.916 0.000 0.000
0.000 4.916 0.000
0.000 0.000 4.916
ATOMIC_POSITIONS crystal
Ir 0.000 0.000 0.000
I 0.000 0.500 0.500
I 0.500 0.000 0.500
I 0.500 0.500 0.000
N 0.500 0.500 0.500
! V ... 118.8 Å³/cell
! DOS(E_F) ... 5.09 states/eV per cell
! Symmetry ... Pm-3m, No. 221

Run ii
! PBE-GGA IrI3N, relaxed; values from VASP
&SYSTEM
  ibrav = 0, nat = 5, ntyp = 3
/
ATOMIC_SPECIES
Ir 192.22 Ir.upf
I 126.90 I.upf
N 14.01 N.upf
CELL_PARAMETERS angstrom
5.483 0.000 0.000
0.000 5.483 0.000
0.000 0.000 5.483
ATOMIC_POSITIONS crystal
Ir 0.000 0.000 0.000
I 0.000 0.000 0.500
I 0.000 0.500 0.000
I 0.500 0.000 0.000
N 0.500 0.500 0.500
! V ... 164.9 Å³/cell
! DOS(E_F) ... 7.52 states/eV per cell
! Symmetry ... Pm-3m, No. 221

run ii comes first in stability; the runner-up is 424 meV/atom higher.

Run i
! PBE-GGA Ir3IN, relaxed; values from VASP
&SYSTEM
  ibrav = 0, nat = 5, ntyp = 3
/
ATOMIC_SPECIES
Ir 192.22 Ir.upf
I 126.90 I.upf
N 14.01 N.upf
CELL_PARAMETERS angstrom
4.255 0.000 0.000
0.000 4.255 0.000
0.000 0.000 4.255
ATOMIC_POSITIONS crystal
Ir 0.000 0.000 0.500
Ir 0.000 0.500 0.000
Ir 0.500 0.000 0.000
I 0.500 0.500 0.500
N 0.000 0.000 0.000
! V ... 77.1 Å³/cell
! DOS(E_F) ... 4.76 states/eV per cell
! Symmetry ... Pm-3m, No. 221

Run ii
! PBE-GGA Ir3IN, relaxed; values from VASP
&SYSTEM
  ibrav = 0, nat = 5, ntyp = 3
/
ATOMIC_SPECIES
Ir 192.22 Ir.upf
I 126.90 I.upf
N 14.01 N.upf
CELL_PARAMETERS angstrom
4.907 0.000 0.000
0.000 4.907 0.000
0.000 0.000 4.907
ATOMIC_POSITIONS crystal
Ir 0.000 0.000 0.500
Ir 0.000 0.500 0.000
Ir 0.500 0.000 0.000
I 0.000 0.000 0.000
N 0.500 0.500 0.500
! V ... 118.2 Å³/cell
! DOS(E_F) ... 8.83 states/eV per cell
! Symmetry ... Pm-3m, No. 221

run i comes first in stability; the runner-up is 1917 meV/atom higher.

Run i
! PBE-GGA Ir2IN2, relaxed; values from VASP
&SYSTEM
  ibrav = 0, nat = 5, ntyp = 3
/
ATOMIC_SPECIES
Ir 192.22 Ir.upf
I 126.90 I.upf
N 14.01 N.upf
CELL_PARAMETERS angstrom
-1.837 1.837 8.486
1.837 -1.837 8.486
1.837 1.837 -8.486
ATOMIC_POSITIONS crystal
Ir 0.250 0.750 0.500
Ir 0.750 0.250 0.500
I 0.000 0.000 0.000
N 0.310 0.310 0.000
N 0.690 0.690 0.000
! V ... 114.6 Å³/cell
! DOS(E_F) ... 1.98 states/eV per cell
! Symmetry ... I4/mmm, No. 139

Run ii
! PBE-GGA Ir2IN2, relaxed; values from VASP
&SYSTEM
  ibrav = 0, nat = 10, ntyp = 3
/
ATOMIC_SPECIES
Ir 192.22 Ir.upf
I 126.90 I.upf
N 14.01 N.upf
CELL_PARAMETERS angstrom
7.581 0.000 0.000
0.000 7.581 0.000
0.000 0.000 2.793
ATOMIC_POSITIONS crystal
Ir 0.118 0.382 0.000
Ir 0.382 0.882 0.000
Ir 0.618 0.118 0.000
Ir 0.882 0.618 0.000
I 0.000 0.000 0.500
I 0.500 0.500 0.500
N 0.104 0.604 0.500
N 0.396 0.104 0.500
N 0.604 0.896 0.500
N 0.896 0.396 0.500
! V ... 160.5 Å³/cell
! DOS(E_F) ... 8.72 states/eV per cell
! Symmetry ... P4/mbm, No. 127

run i comes first in stability; the runner-up is 772 meV/atom higher.

Run i
! PBE-GGA NbIrIN2, relaxed; values from VASP
&SYSTEM
  ibrav = 0, nat = 5, ntyp = 4
/
ATOMIC_SPECIES
Nb 92.91 Nb.upf
Ir 192.22 Ir.upf
I 126.90 I.upf
N 14.01 N.upf
CELL_PARAMETERS angstrom
3.838 0.000 0.000
0.000 3.838 0.000
0.000 0.000 7.654
ATOMIC_POSITIONS crystal
Nb 0.000 0.000 0.000
Ir 0.500 0.500 0.500
I 0.500 0.500 0.000
N 0.000 0.500 0.500
N 0.500 0.000 0.500
! V ... 112.8 Å³/cell
! DOS(E_F) ... 2.97 states/eV per cell
! Symmetry ... P4/mmm, No. 123

Run ii
! PBE-GGA NbIrIN2, relaxed; values from VASP
&SYSTEM
  ibrav = 0, nat = 5, ntyp = 4
/
ATOMIC_SPECIES
Nb 92.91 Nb.upf
Ir 192.22 Ir.upf
I 126.90 I.upf
N 14.01 N.upf
CELL_PARAMETERS angstrom
3.976 0.000 0.000
0.000 3.976 0.000
0.000 0.000 6.108
ATOMIC_POSITIONS crystal
Nb 0.000 0.000 0.000
Ir 0.500 0.500 0.500
I 0.000 0.000 0.500
N 0.000 0.500 0.000
N 0.500 0.000 0.000
! V ... 96.5 Å³/cell
! DOS(E_F) ... 3.82 states/eV per cell
! Symmetry ... P4/mmm, No. 123

run ii comes first in stability; the runner-up is 274 meV/atom higher.

Run i
! PBE-GGA NiIrI2N, relaxed; values from VASP
&SYSTEM
  ibrav = 0, nat = 5, ntyp = 4
/
ATOMIC_SPECIES
Ni 58.69 Ni.upf
Ir 192.22 Ir.upf
I 126.90 I.upf
N 14.01 N.upf
CELL_PARAMETERS angstrom
5.321 0.000 0.000
0.000 5.321 0.000
0.000 0.000 3.394
ATOMIC_POSITIONS crystal
Ni 0.000 0.000 0.000
Ir 0.500 0.500 0.500
I 0.000 0.500 0.000
I 0.500 0.000 0.000
N 0.000 0.000 0.500
! V ... 96.1 Å³/cell
! DOS(E_F) ... 5.62 states/eV per cell
! Symmetry ... P4/mmm, No. 123

Run ii
! PBE-GGA NiIrI2N, relaxed; values from VASP
&SYSTEM
  ibrav = 0, nat = 5, ntyp = 4
/
ATOMIC_SPECIES
Ni 58.69 Ni.upf
Ir 192.22 Ir.upf
I 126.90 I.upf
N 14.01 N.upf
CELL_PARAMETERS angstrom
5.591 0.000 0.000
0.000 5.591 0.000
0.000 0.000 3.687
ATOMIC_POSITIONS crystal
Ni 0.000 0.000 0.000
Ir 0.500 0.500 0.500
I 0.000 0.500 0.500
I 0.500 0.000 0.500
N 0.500 0.500 0.000
! V ... 115.2 Å³/cell
! DOS(E_F) ... 6.29 states/eV per cell
! Symmetry ... P4/mmm, No. 123

run ii comes first in stability; the runner-up is 345 meV/atom higher.